[1]
CaY2Sb: optimized geometry, PBE-GGA.

Energy above the most stable polymorph in this dataset: 0.019 eV per atom

a b c (Å): 4.1871 4.1871 6.8206
angles (deg): 90.00 90.00 90.00
Space group P4/mmm (No. 123)
Asymmetric unit:
Ca: 0.0000 0.0000 0.0000 (multiplicity 1)
Y: 0.5000 0.5000 0.2675 (multiplicity 2)
Sb: 0.0000 0.0000 0.5000 (multiplicity 1)

---

[2]
InCuHg2: optimized geometry, PBE-GGA.

DFT formation energy: 0.251 eV per atom

a b c (Å): 7.1226 7.1226 7.1226
angles (deg): 90.00 90.00 90.00
Space group F-43m (No. 216)
Asymmetric unit:
In: 0.0000 0.0000 0.0000 (multiplicity 4)
Cu: 0.2500 0.2500 0.7500 (multiplicity 4)
Hg: 0.0000 0.0000 0.5000 (multiplicity 4)
Hg: 0.2500 0.2500 0.2500 (multiplicity 4)

---

[3]
Bi2PdPt: optimized geometry, PBE-GGA.

DFT formation energy: -0.163 eV per atom

a b c (Å): 4.9543 4.9543 3.5361
angles (deg): 90.00 90.00 90.00
Space group P4/mmm (No. 123)
Asymmetric unit:
Bi: 0.0000 0.5000 0.0000 (multiplicity 2)
Pd: 0.0000 0.0000 0.5000 (multiplicity 1)
Pt: 0.5000 0.5000 0.5000 (multiplicity 1)

---

[4]
AcPRh3: optimized geometry, PBE-GGA.

Energy above the most stable polymorph in this dataset: 0.000 eV per atom
DFT formation energy: -0.696 eV per atom

a b c (Å): 6.1315 6.8778 4.5325
angles (deg): 90.00 90.00 90.00
Space group Cmmm (No. 65)
Asymmetric unit:
Ac: 0.0000 0.0000 0.0000 (multiplicity 2)
P: 0.0000 0.5000 0.5000 (multiplicity 2)
Rh: 0.0000 0.5000 0.0000 (multiplicity 2)
Rh: 0.2500 0.2500 0.5000 (multiplicity 4)

---

[5]
Zr2ReAu: optimized geometry, PBE-GGA.

Energy above the most stable polymorph in this dataset: 0.468 eV per atom
DFT formation energy: 0.056 eV per atom

a b c (Å): 6.6774 6.6774 6.6774
angles (deg): 90.00 90.00 90.00
Space group F-43m (No. 216)
Asymmetric unit:
Zr: 0.0000 0.0000 0.0000 (multiplicity 4)
Zr: 0.2500 0.2500 0.2500 (multiplicity 4)
Re: 0.0000 0.0000 0.5000 (multiplicity 4)
Au: 0.2500 0.2500 0.7500 (multiplicity 4)

---

[6]
LiPAu: optimized geometry, PBE-GGA.

DFT formation energy: -0.181 eV per atom

a b c (Å): 3.5078 3.5078 7.5666
angles (deg): 90.00 90.00 90.00
Space group I4mm (No. 107)
Asymmetric unit:
Li: 0.0000 0.0000 0.0000 (multiplicity 2)
P: 0.0000 0.0000 0.6719 (multiplicity 2)
Au: 0.0000 0.0000 0.3439 (multiplicity 2)

---

[7]
ZrTlAsClO: optimized geometry, PBE-GGA.

Energy above the most stable polymorph in this dataset: 0.092 eV per atom

a b c (Å): 3.2271 3.0990 21.1480
angles (deg): 90.00 90.00 90.00
Space group Amm2 (No. 38)
Asymmetric unit:
Zr: 0.0000 0.0000 0.0000 (multiplicity 2)
Tl: 0.5000 0.0000 0.7435 (multiplicity 2)
As: 0.0000 0.0000 0.1360 (multiplicity 2)
Cl: 0.0000 0.0000 0.4001 (multiplicity 2)
O: 0.5000 0.0000 0.5131 (multiplicity 2)

---

[8]
Fe3SeBr: optimized geometry, PBE-GGA.

Energy above the most stable polymorph in this dataset: 0.000 eV per atom

a b c (Å): 4.6140 4.6140 4.6140
angles (deg): 90.00 90.00 90.00
Space group Pm-3m (No. 221)
Asymmetric unit:
Fe: 0.0000 0.0000 0.5000 (multiplicity 3)
Se: 0.0000 0.0000 0.0000 (multiplicity 1)
Br: 0.5000 0.5000 0.5000 (multiplicity 1)

---

[9]
TcTe2W: optimized geometry, PBE-GGA.

Energy above the most stable polymorph in this dataset: 0.174 eV per atom

a b c (Å): 3.2699 3.2699 30.1811
angles (deg): 90.00 90.00 120.00
Space group R3m (No. 160, hexagonal axes)
Asymmetric unit:
Tc: 0.0000 0.0000 0.0000 (multiplicity 3)
Te: 0.0000 0.0000 0.5374 (multiplicity 3)
Te: 0.0000 0.0000 0.7355 (multiplicity 3)
W: 0.0000 0.0000 0.2725 (multiplicity 3)

---

[10]
BaFeOs: optimized geometry, PBE-GGA.

Energy above the most stable polymorph in this dataset: 0.020 eV per atom
DFT formation energy: 0.365 eV per atom

a b c (Å): 4.3313 4.3314 10.8750
angles (deg): 101.22 90.06 119.99
Space group P1 (No. 1)
Asymmetric unit:
Ba: 0.0000 0.0000 0.0000 (multiplicity 1)
Ba: 0.1960 0.3889 0.5989 (multiplicity 1)
Fe: 0.3981 0.7944 0.1971 (multiplicity 1)
Fe: 0.4654 0.9278 0.4019 (multiplicity 1)
Os: 0.0985 0.1944 0.2996 (multiplicity 1)
Os: 0.7651 0.5277 0.2996 (multiplicity 1)

---

[11]
Th3Tl4S8: optimized geometry, PBE-GGA.

Total energy: -5.61 eV/atom

a b c (Å): 8.5256 8.5256 23.5977
angles (deg): 90.00 90.00 120.00
Space group R-3m (No. 166, hexagonal axes)
Asymmetric unit:
Th: 0.0000 0.5000 0.0000 (multiplicity 9)
Tl: 0.0000 0.0000 0.0000 (multiplicity 3)
Tl: 0.0000 0.0000 0.1387 (multiplicity 6)
Tl: 0.0000 0.0000 0.5000 (multiplicity 3)
S: 0.0000 0.0000 0.2732 (multiplicity 6)
S: 0.0332 0.5166 0.2692 (multiplicity 18)

---

[12]
SrAcC: optimized geometry, PBE-GGA.

Energy above the most stable polymorph in this dataset: 0.000 eV per atom
DFT formation energy: 0.289 eV per atom

a b c (Å): 10.4619 6.3605 7.2674
angles (deg): 90.00 122.44 90.00
Space group C2/m (No. 12)
Asymmetric unit:
Sr: 0.1341 0.0000 0.4212 (multiplicity 4)
Ac: 0.1498 0.5000 0.8863 (multiplicity 4)
C: 0.0692 0.0000 0.0165 (multiplicity 4)